1.
Crystalline LaZn2Rh2 at its relaxed geometry. Source: Alexandria via LeMat-Bulk, functional PBE-GGA.

The space group is I4/mmm (No. 139) and the conventional cell measures 4.0723, 4.0723 and 11.4481 Å, with angles of 90.00, 90.00 and 90.00 degrees. The asymmetric unit holds La at (0.0000, 0.0000, 0.0000), Zn at (0.0000, 0.5000, 0.2500) and Rh at (0.0000, 0.0000, 0.3865).

The calculated formation energy is -0.537 eV/atom. The density of states at the Fermi level is 4.51 states/eV/cell. The size of the total moment comes out at 0.00 μB/f.u. As for the relative energy among the computed polymorphs: 0.02 eV/f.u.

2.
Crystalline Tl2HgPb at its relaxed geometry. Source: Alexandria via LeMat-Bulk, functional PBE-GGA.

The space group is R3m (No. 160, hexagonal axes) and the conventional cell measures 3.5373, 3.5373 and 33.5915 Å, with angles of 90.00, 90.00 and 120.00 degrees. The asymmetric unit holds Tl at (0.0000, 0.0000, 0.0000), Tl at (0.0000, 0.0000, 0.1705), Hg at (0.0000, 0.0000, 0.5862) and Pb at (0.0000, 0.0000, 0.7517).

The calculated formation energy is 0.001 eV/atom. The density of states at the Fermi level is 4.16 states/eV/cell. The size of the total moment comes out at 0.00 μB/f.u.